5
Lattice="5.255 0.000 0.000 0.000 5.255 0.000 0.000 0.000 5.110" Properties=species:S:1:pos:R:3 comment="Na2PSeBr | the Alexandria database | PBE | relaxed" magmom_total_mub_per_cell=0.00 e_form_raw_ev_per_atom=-0.050 space_group="No. 123" volume_a3_per_cell=141.10 pbc="T T T"
Na 0.000 2.627 0.000
Na 2.627 0.000 0.000
P 0.000 0.000 2.555
Se 2.627 2.627 2.555
Br 0.000 0.000 0.000

4
Lattice="0.000 3.495 3.495 3.495 0.000 3.495 3.495 3.495 0.000" Properties=species:S:1:pos:R:3 comment="VNiI2 | the Alexandria database | PBE | relaxed" magmom_total_mub_per_cell=2.96 e_form_raw_ev_per_atom=0.621 space_group="No. 225" relative_energy_ev_per_atom=0.348 volume_a3_per_cell=85.39 pbc="T T T"
V 0.000 0.000 0.000
Ni 3.495 3.495 3.495
I 1.748 1.748 1.748
I 5.243 5.243 5.243

10
Lattice="4.238 -6.183 0.000 4.238 6.183 0.000 0.000 0.000 7.365" Properties=species:S:1:pos:R:3 comment="CsCuTeS2 | the Alexandria database | PBE | relaxed" magmom_total_mub_per_cell=0.00 e_form_raw_ev_per_atom=-0.347 space_group="No. 67" volume_a3_per_cell=385.99 pbc="T T T"
Cs 4.238 3.092 6.141
Cs 4.238 -3.092 1.224
Cu 0.000 0.000 3.683
Cu 4.238 0.000 3.683
Te 2.119 0.000 0.000
Te 6.357 0.000 0.000
S 4.238 5.597 1.652
S 4.238 0.586 1.652
S 4.238 -0.586 5.713
S 4.238 -5.597 5.713

4
Lattice="3.307 0.000 0.000 0.000 3.307 0.000 0.000 0.000 5.722" Properties=species:S:1:pos:R:3 comment="TaCrPt2 | the Alexandria database | PBE | relaxed" magmom_total_mub_per_cell=1.36 space_group="No. 99" relative_energy_ev_per_atom=0.166 delta_e_f_kj_per_mol_atoms=-31.7 volume_a3_per_cell=62.57 pbc="T T T"
Ta 0.000 0.000 0.000
Cr 1.653 1.653 1.567
Pt 0.000 0.000 2.705
Pt 1.653 1.653 4.330

9
Lattice="-5.319 5.319 2.514 5.319 -5.319 2.514 5.319 5.319 -2.514" Properties=species:S:1:pos:R:3 comment="Tb4CeDy4 | the Alexandria database | PBE | relaxed" magmom_total_mub_per_cell=1.00 space_group="No. 139" delta_e_f_kj_per_mol_atoms=3.9 volume_a3_per_cell=284.57 pbc="T T T"
Tb 1.758 1.758 0.000
Tb 3.561 -3.561 2.514
Tb -3.561 3.561 2.514
Tb 3.561 3.561 2.514
Ce 0.000 0.000 2.514
Dy 5.319 1.778 0.000
Dy 1.778 5.319 0.000
Dy 3.542 0.000 2.514
Dy 0.000 3.542 2.514

3
Lattice="4.298 0.000 0.000 -2.149 3.723 0.000 0.000 0.000 2.762" Properties=species:S:1:pos:R:3 comment="Zn2W | the Alexandria database | PBE | relaxed" magmom_total_mub_per_cell=0.00 space_group="No. 191" relative_energy_ev_per_atom=0.217 delta_e_f_kj_per_mol_atoms=35.0 volume_a3_per_cell=44.20 pbc="T T T"
Zn 0.000 2.482 0.000
Zn 2.149 1.241 0.000
W 0.000 0.000 1.381

5
Lattice="5.355 0.000 0.000 0.000 5.355 0.000 0.000 0.000 4.382" Properties=species:S:1:pos:R:3 comment="Ca2FeCuW | the Alexandria database | PBE | relaxed" magmom_total_mub_per_cell=0.94 space_group="No. 123" delta_e_f_kj_per_mol_atoms=91.6 volume_a3_per_cell=125.64 pbc="T T T"
Ca 0.000 2.677 0.000
Ca 2.677 0.000 0.000
Fe 0.000 0.000 0.000
Cu 2.677 2.677 2.191
W 0.000 0.000 2.191

5
Lattice="5.106 0.000 0.000 0.000 5.106 0.000 0.000 0.000 5.272" Properties=species:S:1:pos:R:3 comment="HgPbS2Cl | the Alexandria database | PBE | relaxed" magmom_total_mub_per_cell=0.00 e_form_raw_ev_per_atom=0.064 space_group="No. 123" relative_energy_ev_per_atom=0.000 volume_a3_per_cell=137.43 pbc="T T T"
Hg 0.000 0.000 0.000
Pb 2.553 2.553 2.636
S 0.000 2.553 0.000
S 2.553 0.000 0.000
Cl 0.000 0.000 2.636